A geometry-optimized KCoMo3 structure. Source: Alexandria, functional PBE.

Cell: 4.652 4.652 4.652 Å, 90.00 90.00 90.00°
Site moments in Bohr magnetons follow the coordinates.
Atoms (fractional coordinates):
Mo  0.000  0.500  0.000  0.47
Mo  0.000  0.000  0.500  0.59
Mo  0.500  0.000  0.000  0.39
Co  0.000  0.000  0.000  0.07
K  0.500  0.500  0.500  0.02

Density of states at the Fermi level in states/eV/cell: 6.49
Size of the total moment in μB/f.u.: 1.8
Formation enthalpy at 0 K in eV/atom: 1.6487
Density in g/cm³: 6.4
VASP energy in eV per atom: -6.49



A geometry-optimized KCoMo2 structure. Source: Alexandria, functional PBE.

Cell: 2.691 2.691 10.041 Å, 90.00 90.00 90.31°
Site moments in Bohr magnetons follow the coordinates.
Atoms (fractional coordinates):
Mo  0.000  0.000  0.071  0.06
Mo  0.000  0.000  0.429  0.06
Co  0.500  0.500  0.250  0.72
K  0.500  0.500  0.750  0.01

Density of states at the Fermi level in states/eV/cell: 4.69
Size of the total moment in μB/f.u.: 0.9
Formation enthalpy at 0 K in eV/atom: 0.8449
Density in g/cm³: 6.6
VASP energy in eV per atom: -6.62



A geometry-optimized KCo2Mo structure. Source: Alexandria, functional PBE.

Cell: 5.216 5.216 5.216 Å, 137.66 137.66 61.43°
Site moments in Bohr magnetons follow the coordinates.
Atoms (fractional coordinates):
Co  0.250  0.750  0.500  -0.90
Co  0.000  0.000  0.000  1.12
Mo  0.750  0.250  0.500  -0.06
K  0.500  0.500  0.000  0.00

Density of states at the Fermi level in states/eV/cell: 5.27
Size of the total moment in μB/f.u.: 0.1
Formation enthalpy at 0 K in eV/atom: 1.6011
Density in g/cm³: 6.6
VASP energy in eV per atom: -4.93



A geometry-optimized KCo2Mo structure. Source: Alexandria, functional PBE.

Cell: 3.867 3.103 7.106 Å, 77.68 90.00 90.00°
Atoms (fractional coordinates):
Co  0.000  0.209  0.949
Co  0.500  0.109  0.158
Mo  0.500  0.727  0.916
K  0.000  0.455  0.477

Density of states at the Fermi level in states/eV/cell: 4.27
Size of the total moment in μB/f.u.: 0.0
Formation enthalpy at 0 K in eV/atom: 0.8668
Density in g/cm³: 5.0
VASP energy in eV per atom: -5.67



A geometry-optimized KCo2Mo structure. Source: Alexandria, functional PBE.

Cell: 4.420 4.420 4.420 Å, 60.00 60.00 60.00°
Site moments in Bohr magnetons follow the coordinates.
Atoms (fractional coordinates):
Mo  0.750  0.750  0.750  -0.32
Co  0.250  0.250  0.250  1.68
Co  0.000  0.000  0.000  0.98
K  0.500  0.500  0.500  -0.01

Density of states at the Fermi level in states/eV/cell: 5.38
Size of the total moment in μB/f.u.: 2.2
Formation enthalpy at 0 K in eV/atom: 1.5347
Density in g/cm³: 6.9
VASP energy in eV per atom: -5.00



A geometry-optimized KCo2Mo structure. Source: Alexandria, functional PBE.

Cell: 7.037 7.037 5.918 Å, 53.52 53.52 90.00°
Atoms (fractional coordinates):
Co  0.050  0.625  0.250
Co  0.875  0.950  0.750
Co  0.375  0.300  0.750
Co  0.700  0.125  0.250
Mo  0.000  0.000  0.000
Mo  0.750  0.250  0.500
K  0.250  0.750  0.500
K  0.500  0.500  0.000

Density of states at the Fermi level in states/eV/cell: 9.60
Size of the total moment in μB/f.u.: 0.0
Formation enthalpy at 0 K in eV/atom: 1.3066
Density in g/cm³: 5.3
VASP energy in eV per atom: -5.23



A geometry-optimized KCoMo2 structure. Source: Alexandria, functional PBE.

Cell: 3.659 2.673 8.381 Å, 88.98 90.00 90.00°
Site moments in Bohr magnetons follow the coordinates.
Atoms (fractional coordinates):
Mo  0.000  0.755  0.103  -0.01
Mo  0.000  0.745  0.397  -0.01
K  0.500  0.750  0.750  0.00
Co  0.500  0.250  0.250  0.51

Density of states at the Fermi level in states/eV/cell: 3.30
Size of the total moment in μB/f.u.: 0.5
Formation enthalpy at 0 K in eV/atom: 0.8056
Density in g/cm³: 5.9
VASP energy in eV per atom: -6.66



A geometry-optimized KCoMo2 structure. Source: Alexandria, functional PBE.

Cell: 5.653 5.653 5.653 Å, 141.08 141.08 56.21°
Site moments in Bohr magnetons follow the coordinates.
Atoms (fractional coordinates):
Mo  0.500  0.500  0.000  0.00
Mo  0.000  0.000  0.000  0.00
K  0.750  0.250  0.500  -0.01
Co  0.250  0.750  0.500  1.27

Density of states at the Fermi level in states/eV/cell: 5.90
Size of the total moment in μB/f.u.: 1.2
Formation enthalpy at 0 K in eV/atom: 1.6131
Density in g/cm³: 6.8
VASP energy in eV per atom: -5.85



A geometry-optimized K4CoMo structure. Source: Alexandria, functional PBE.

Cell: 7.180 7.180 7.180 Å, 60.00 60.00 60.00°
Site moments in Bohr magnetons follow the coordinates.
Atoms (fractional coordinates):
K  0.375  0.375  0.375  0.00
K  0.876  0.375  0.375  0.00
K  0.375  0.375  0.876  0.00
K  0.375  0.876  0.375  0.00
Co  0.000  0.000  0.000  2.12
Mo  0.750  0.750  0.750  3.83

Density of states at the Fermi level in states/eV/cell: 3.50
Size of the total moment in μB/f.u.: 7.1
Formation enthalpy at 0 K in eV/atom: 1.5154
Density in g/cm³: 2.0
VASP energy in eV per atom: -2.21



A geometry-optimized KCoMo2 structure. Source: Alexandria, functional PBE.

Cell: 3.289 3.289 8.164 Å, 90.00 90.00 90.00°
Site moments in Bohr magnetons follow the coordinates.
Atoms (fractional coordinates):
Co  0.500  0.500  0.250  1.01
Mo  0.000  0.000  0.114  0.14
Mo  0.000  0.000  0.386  0.14
K  0.500  0.500  0.750  0.01

Density of states at the Fermi level in states/eV/cell: 4.39
Size of the total moment in μB/f.u.: 1.4
Formation enthalpy at 0 K in eV/atom: 0.8948
Density in g/cm³: 5.4
VASP energy in eV per atom: -6.57



A geometry-optimized KCoMo2 structure. Source: Alexandria, functional PBE.

Cell: 4.590 4.590 4.590 Å, 60.00 60.00 60.00°
Site moments in Bohr magnetons follow the coordinates.
Atoms (fractional coordinates):
Mo  0.250  0.250  0.250  -0.12
Mo  0.000  0.000  0.000  0.33
K  0.750  0.750  0.750  0.00
Co  0.500  0.500  0.500  1.45

Density of states at the Fermi level in states/eV/cell: 5.92
Size of the total moment in μB/f.u.: 1.6
Formation enthalpy at 0 K in eV/atom: 1.5019
Density in g/cm³: 7.0
VASP energy in eV per atom: -5.96



A geometry-optimized KCoMo4 structure. Source: Alexandria, functional PBE.

Cell: 5.356 5.356 5.356 Å, 60.00 60.00 60.00°
Site moments in Bohr magnetons follow the coordinates.
Atoms (fractional coordinates):
Co  0.750  0.750  0.750  1.52
Mo  0.374  0.374  0.374  -0.02
Mo  0.877  0.374  0.374  -0.02
Mo  0.374  0.877  0.374  -0.02
Mo  0.374  0.374  0.877  -0.02
K  0.000  0.000  0.000  -0.01

Density of states at the Fermi level in states/eV/cell: 5.75
Size of the total moment in μB/f.u.: 1.3
Formation enthalpy at 0 K in eV/atom: 1.1903
Density in g/cm³: 7.4
VASP energy in eV per atom: -7.40



A geometry-optimized KCoMo2 structure. Source: Alexandria, functional PBE.

Cell: 5.815 5.815 2.582 Å, 90.00 90.00 125.63°
Site moments in Bohr magnetons follow the coordinates.
Atoms (fractional coordinates):
Mo  0.500  0.500  0.000  0.00
Mo  0.000  0.000  0.000  0.00
K  0.000  0.500  0.500  -0.02
Co  0.500  0.000  0.500  1.66

Density of states at the Fermi level in states/eV/cell: 6.08
Size of the total moment in μB/f.u.: 1.5
Formation enthalpy at 0 K in eV/atom: 1.4043
Density in g/cm³: 6.8
VASP energy in eV per atom: -6.06



A geometry-optimized KCo2Mo structure. Source: Alexandria, functional PBE.

Cell: 4.324 4.324 7.116 Å, 83.38 83.38 37.99°
Site moments in Bohr magnetons follow the coordinates.
Atoms (fractional coordinates):
Co  0.477  0.477  0.621  0.50
Co  0.023  0.023  0.879  0.50
Mo  0.750  0.750  0.750  -0.17
K  0.250  0.250  0.250  0.00

Density of states at the Fermi level in states/eV/cell: 5.06
Size of the total moment in μB/f.u.: 0.8
Formation enthalpy at 0 K in eV/atom: 0.7680
Density in g/cm³: 5.2
VASP energy in eV per atom: -5.77



A geometry-optimized KCo2Mo structure. Source: Alexandria, functional PBE.

Cell: 4.559 4.559 6.736 Å, 82.76 82.76 35.94°
Site moments in Bohr magnetons follow the coordinates.
Atoms (fractional coordinates):
Co  0.713  0.713  0.853  1.17
Co  0.011  0.011  0.018  0.85
Mo  0.286  0.286  0.108  -0.02
K  0.491  0.491  0.521  0.00

Density of states at the Fermi level in states/eV/cell: 4.83
Size of the total moment in μB/f.u.: 2.1
Formation enthalpy at 0 K in eV/atom: 0.8781
Density in g/cm³: 5.2
VASP energy in eV per atom: -5.66



A geometry-optimized KCoMo2 structure. Source: Alexandria, functional PBE.

Cell: 6.162 6.162 6.162 Å, 155.69 130.65 55.75°
Site moments in Bohr magnetons follow the coordinates.
Atoms (fractional coordinates):
Mo  0.548  0.548  0.000  -0.06
Mo  0.952  0.952  0.000  -0.06
Co  0.750  0.250  0.500  0.76
K  0.250  0.750  0.500  -0.01

Density of states at the Fermi level in states/eV/cell: 4.12
Size of the total moment in μB/f.u.: 0.6
Formation enthalpy at 0 K in eV/atom: 0.9850
Density in g/cm³: 6.6
VASP energy in eV per atom: -6.48



A geometry-optimized KCo2Mo structure. Source: Alexandria, functional PBE.

Cell: 5.072 5.072 2.570 Å, 90.00 90.00 90.00°
Site moments in Bohr magnetons follow the coordinates.
Atoms (fractional coordinates):
Mo  0.000  0.500  0.500  -0.06
Co  0.500  0.500  0.000  1.64
Co  0.000  0.000  0.000  1.64
K  0.500  0.000  0.500  -0.03

Density of states at the Fermi level in states/eV/cell: 4.60
Size of the total moment in μB/f.u.: 3.1
Formation enthalpy at 0 K in eV/atom: 1.1582
Density in g/cm³: 6.4
VASP energy in eV per atom: -5.38



A geometry-optimized KCoMo structure. Source: Alexandria, functional PBE.

Cell: 4.454 4.454 4.454 Å, 60.00 60.00 60.00°
Site moments in Bohr magnetons follow the coordinates.
Atoms (fractional coordinates):
Mo  0.500  0.500  0.500  1.45
K  0.000  0.000  0.000  0.03
Co  0.750  0.750  0.750  -0.58

Density of states at the Fermi level in states/eV/cell: 2.78
Size of the total moment in μB/f.u.: 1.1
Formation enthalpy at 0 K in eV/atom: 1.9002
Density in g/cm³: 5.2
VASP energy in eV per atom: -4.44



A geometry-optimized KCoMo2 structure. Source: Alexandria, functional PBE.

Cell: 2.920 4.604 5.204 Å, 90.00 90.00 90.00°
Site moments in Bohr magnetons follow the coordinates.
Atoms (fractional coordinates):
K  0.000  0.500  0.500  -0.05
Co  0.500  0.000  0.500  1.38
Mo  0.500  0.500  0.000  -0.51
Mo  0.000  0.000  0.000  0.06

Density of states at the Fermi level in states/eV/cell: 6.01
Size of the total moment in μB/f.u.: 0.7
Formation enthalpy at 0 K in eV/atom: 1.4635
Density in g/cm³: 6.9
VASP energy in eV per atom: -6.00



A geometry-optimized KCoMo2 structure. Source: Alexandria, functional PBE.

Cell: 4.922 4.922 2.693 Å, 90.00 90.00 90.00°
Site moments in Bohr magnetons follow the coordinates.
Atoms (fractional coordinates):
K  0.000  0.500  0.500  0.00
Mo  0.500  0.500  0.000  -0.01
Mo  0.000  0.000  0.000  -0.01
Co  0.500  0.000  0.500  0.59

Density of states at the Fermi level in states/eV/cell: 4.59
Size of the total moment in μB/f.u.: 0.5
Formation enthalpy at 0 K in eV/atom: 1.7685
Density in g/cm³: 7.4
VASP energy in eV per atom: -5.70